# 1
This record from Alexandria via LeMat-Bulk describes a relaxed structure of NdY2Ho3Bi6. The functional is PBE.

The structure in CIF format:
```
data_NdY2Ho3Bi6
_chemical_formula_sum 'Nd2 Y4 Ho6 Bi12'
_cell_length_a 19.583
_cell_length_b 4.495
_cell_length_c 8.988
_cell_angle_alpha 90.00
_cell_angle_beta 103.20
_cell_angle_gamma 90.00
_space_group_name_H-M_alt 'C 1 2/m 1'
_space_group_IT_number 12
_space_group_name_Hall '-C 2y'
loop_
_atom_site_label
_atom_site_fract_x
_atom_site_fract_y
_atom_site_fract_z
_atom_site_occupancy
Nd1 0.000 0.000 0.000 1
Y1 0.167 0.500 0.333 1
Ho1 0.000 0.000 0.500 1
Ho2 0.166 0.500 0.832 1
Bi1 0.000 0.500 0.257 1
Bi2 0.166 0.000 0.584 1
Bi3 0.169 0.000 0.083 1
```

- magnetization (Bohr magnetons per cell) = 0.0
- VASP energy (eV per atom) = -5.4326
- density of states at the Fermi level (states/eV per cell) = 4.03
- energy of formation (eV per atom) = -0.873

# 2
This record from Alexandria via LeMat-Bulk describes a relaxed structure of NpGe6Ir5. The functional is PBE.

The structure in CIF format:
```
data_NpGe6Ir5
_chemical_formula_sum 'Np2 Ge12 Ir10'
_cell_length_a 5.507
_cell_length_b 10.992
_cell_length_c 7.120
_cell_angle_alpha 90.00
_cell_angle_beta 110.29
_cell_angle_gamma 90.00
_space_group_name_H-M_alt 'C 1 2/m 1'
_space_group_IT_number 12
_space_group_name_Hall '-C 2y'
loop_
_atom_site_label
_atom_site_fract_x
_atom_site_fract_y
_atom_site_fract_z
_atom_site_occupancy
Np1 0.000 0.000 0.000 1
Ge1 0.143 0.500 0.211 1
Ge2 0.220 0.304 0.696 1
Ir1 0.000 0.122 0.500 1
Ir2 0.000 0.305 0.000 1
Ir3 0.000 0.500 0.500 1
```

- magnetization (Bohr magnetons per cell) = 7.9
- VASP energy (eV per atom) = -7.2620
- density of states at the Fermi level (states/eV per cell) = 17.94
- energy of formation (eV per atom) = -0.183

# 3
This record from Alexandria via LeMat-Bulk describes a relaxed structure of LaHf2AuC. The functional is PBE.

The structure in CIF format:
```
data_LaHf2AuC
_chemical_formula_sum 'La1 Hf2 Au1 C1'
_cell_length_a 5.348
_cell_length_b 5.348
_cell_length_c 4.156
_cell_angle_alpha 90.00
_cell_angle_beta 90.00
_cell_angle_gamma 90.00
_space_group_name_H-M_alt 'P 4/m m m'
_space_group_IT_number 123
_space_group_name_Hall '-P 4 2'
loop_
_atom_site_label
_atom_site_fract_x
_atom_site_fract_y
_atom_site_fract_z
_atom_site_occupancy
La1 0.000 0.000 0.000 1
Hf1 0.000 0.500 0.000 1
Au1 0.500 0.500 0.500 1
C1 0.000 0.000 0.500 1
```

- magnetization (Bohr magnetons per cell) = 0.0
- VASP energy (eV per atom) = -5.5726
- density of states at the Fermi level (states/eV per cell) = 6.09
- energy of formation (eV per atom) = 1.894

Repeat the first record exactly.
This record from Alexandria via LeMat-Bulk describes a relaxed structure of NdY2Ho3Bi6. The functional is PBE.

The structure in CIF format:
```
data_NdY2Ho3Bi6
_chemical_formula_sum 'Nd2 Y4 Ho6 Bi12'
_cell_length_a 19.583
_cell_length_b 4.495
_cell_length_c 8.988
_cell_angle_alpha 90.00
_cell_angle_beta 103.20
_cell_angle_gamma 90.00
_space_group_name_H-M_alt 'C 1 2/m 1'
_space_group_IT_number 12
_space_group_name_Hall '-C 2y'
loop_
_atom_site_label
_atom_site_fract_x
_atom_site_fract_y
_atom_site_fract_z
_atom_site_occupancy
Nd1 0.000 0.000 0.000 1
Y1 0.167 0.500 0.333 1
Ho1 0.000 0.000 0.500 1
Ho2 0.166 0.500 0.832 1
Bi1 0.000 0.500 0.257 1
Bi2 0.166 0.000 0.584 1
Bi3 0.169 0.000 0.083 1
```

- magnetization (Bohr magnetons per cell) = 0.0
- VASP energy (eV per atom) = -5.4326
- density of states at the Fermi level (states/eV per cell) = 4.03
- energy of formation (eV per atom) = -0.873

Please write out number 3 again, unchanged.
This record from Alexandria via LeMat-Bulk describes a relaxed structure of LaHf2AuC. The functional is PBE.

The structure in CIF format:
```
data_LaHf2AuC
_chemical_formula_sum 'La1 Hf2 Au1 C1'
_cell_length_a 5.348
_cell_length_b 5.348
_cell_length_c 4.156
_cell_angle_alpha 90.00
_cell_angle_beta 90.00
_cell_angle_gamma 90.00
_space_group_name_H-M_alt 'P 4/m m m'
_space_group_IT_number 123
_space_group_name_Hall '-P 4 2'
loop_
_atom_site_label
_atom_site_fract_x
_atom_site_fract_y
_atom_site_fract_z
_atom_site_occupancy
La1 0.000 0.000 0.000 1
Hf1 0.000 0.500 0.000 1
Au1 0.500 0.500 0.500 1
C1 0.000 0.000 0.500 1
```

- magnetization (Bohr magnetons per cell) = 0.0
- VASP energy (eV per atom) = -5.5726
- density of states at the Fermi level (states/eV per cell) = 6.09
- energy of formation (eV per atom) = 1.894

Repeat the first record exactly.
This record from Alexandria via LeMat-Bulk describes a relaxed structure of NdY2Ho3Bi6. The functional is PBE.

The structure in CIF format:
```
data_NdY2Ho3Bi6
_chemical_formula_sum 'Nd2 Y4 Ho6 Bi12'
_cell_length_a 19.583
_cell_length_b 4.495
_cell_length_c 8.988
_cell_angle_alpha 90.00
_cell_angle_beta 103.20
_cell_angle_gamma 90.00
_space_group_name_H-M_alt 'C 1 2/m 1'
_space_group_IT_number 12
_space_group_name_Hall '-C 2y'
loop_
_atom_site_label
_atom_site_fract_x
_atom_site_fract_y
_atom_site_fract_z
_atom_site_occupancy
Nd1 0.000 0.000 0.000 1
Y1 0.167 0.500 0.333 1
Ho1 0.000 0.000 0.500 1
Ho2 0.166 0.500 0.832 1
Bi1 0.000 0.500 0.257 1
Bi2 0.166 0.000 0.584 1
Bi3 0.169 0.000 0.083 1
```

- magnetization (Bohr magnetons per cell) = 0.0
- VASP energy (eV per atom) = -5.4326
- density of states at the Fermi level (states/eV per cell) = 4.03
- energy of formation (eV per atom) = -0.873